Entry 1:
The following is a DFT calculation (PBE) of crystalline Pm2GeS at its relaxed geometry.

Summary:
The total moment comes out at 0.00 Bohr magnetons per cell.

a = 4.1423 Å, b = 5.8754 Å, c = 8.3898 Å
α = 90.00°, β = 90.00°, γ = 90.00°
Positions (direct):
S: 0.0000 0.5000 0.3793
S: 0.5000 0.0000 0.6207
Pm: 0.5000 0.5000 0.6237
Pm: 0.0000 0.0000 0.3763
Pm: 0.0000 0.0000 0.8703
Pm: 0.5000 0.5000 0.1297
Ge: 0.5000 0.0000 0.1280
Ge: 0.0000 0.5000 0.8720



Entry 2:
The following is a DFT calculation (PBE) of crystalline CdReI2 at its relaxed geometry.

Summary:
The total moment comes out at 0.00 Bohr magnetons per cell.

a = 5.0724 Å, b = 5.0724 Å, c = 5.0724 Å
α = 60.00°, β = 60.00°, γ = 60.00°
Positions (direct):
I: 0.7500 0.7500 0.7500
I: 0.2500 0.2500 0.2500
Re: 0.5000 0.5000 0.5000
Cd: 0.0000 0.0000 0.0000



| no. | distance to the lowest polymorph of the same formula (meV per atom) |
| --- | --- |
| 1 | 31 |
| 2 | 661 |